[1]
3
Lattice="0.0000 3.4015 3.4015 3.4015 0.0000 3.4015 3.4015 3.4015 0.0000" Properties=species:S:1:pos:R:3 comment="YCdPd, optimized geometry, DFT PBE-GGA" final_energy_ev_per_cell=-12.8 crystal_system=cubic formation_energy_ev_per_atom=-0.102 spacegroup="F-43m, No. 216" pbc="T T T"
Y 0.0000 0.0000 0.0000
Cd 5.1023 5.1023 5.1023
Pd 1.7008 1.7008 1.7008

[2]
3
Lattice="0.0000 3.3302 3.3302 3.3302 0.0000 3.3302 3.3302 3.3302 0.0000" Properties=species:S:1:pos:R:3 comment="YCdPd, optimized geometry, DFT PBE-GGA" final_energy_ev_per_cell=-14.3 crystal_system=cubic formation_energy_ev_per_atom=-0.572 spacegroup="F-43m, No. 216" pbc="T T T"
Y 0.0000 0.0000 0.0000
Cd 3.3302 3.3302 3.3302
Pd 1.6651 1.6651 1.6651

[3]
5
Lattice="-2.1241 2.1241 5.9143 2.1241 -2.1241 5.9143 2.1241 2.1241 -5.9143" Properties=species:S:1:pos:R:3 comment="YCd2Pd2, optimized geometry, DFT PBE-GGA" final_energy_ev_per_cell=-20.2 crystal_system=tetragonal formation_energy_ev_per_atom=-0.326 spacegroup="I4/mmm, No. 139" pbc="T T T"
Y 0.0000 0.0000 0.0000
Cd 0.0000 0.0000 4.5817
Cd 0.0000 0.0000 7.2470
Pd 2.1241 0.0000 2.9572
Pd 0.0000 2.1241 2.9572

[4]
4
Lattice="0.0000 3.1941 3.1941 3.1941 0.0000 3.1941 3.1941 3.1941 0.0000" Properties=species:S:1:pos:R:3 comment="ZnCdPd2, optimized geometry, DFT PBE-GGA" final_energy_ev_per_cell=-13.7 crystal_system=cubic formation_energy_ev_per_atom=-0.304 spacegroup="F-43m, No. 216" pbc="T T T"
Zn 0.0000 0.0000 0.0000
Cd 1.5970 1.5970 1.5970
Pd 3.1941 3.1941 3.1941
Pd 4.7911 4.7911 4.7911

[5]
6
Lattice="2.9753 0.0000 0.0000 0.0000 2.9753 0.0000 0.0000 0.0000 10.4475" Properties=species:S:1:pos:R:3 comment="Zn2CdPd3, optimized geometry, DFT PBE-GGA" final_energy_ev_per_cell=-22.1 crystal_system=tetragonal formation_energy_ev_per_atom=-0.528 spacegroup="P4/mmm, No. 123" pbc="T T T"
Zn 0.0000 0.0000 1.6397
Zn 0.0000 0.0000 8.8078
Cd 0.0000 0.0000 5.2238
Pd 1.4876 1.4876 0.0000
Pd 1.4876 1.4876 3.2283
Pd 1.4876 1.4876 7.2192

[6]
4
Lattice="0.0000 3.3049 3.3049 3.3049 0.0000 3.3049 3.3049 3.3049 0.0000" Properties=species:S:1:pos:R:3 comment="ZrCdPd2, optimized geometry, DFT PBE-GGA" final_energy_ev_per_cell=-21.2 crystal_system=cubic formation_energy_ev_per_atom=-0.360 spacegroup="F-43m, No. 216" pbc="T T T"
Zr 0.0000 0.0000 0.0000
Cd 1.6525 1.6525 1.6525
Pd 3.3049 3.3049 3.3049
Pd 4.9574 4.9574 4.9574

[7]
4
Lattice="4.8328 0.0000 0.0000 0.0000 4.8328 0.0000 0.0000 0.0000 3.0976" Properties=species:S:1:pos:R:3 comment="ZrCdPd2, optimized geometry, DFT PBE-GGA" final_energy_ev_per_cell=-21.8 crystal_system=tetragonal formation_energy_ev_per_atom=-0.493 spacegroup="P4/mmm, No. 123" pbc="T T T"
Zr 0.0000 0.0000 0.0000
Cd 2.4164 2.4164 0.0000
Pd 0.0000 2.4164 1.5488
Pd 2.4164 0.0000 1.5488

[8]
3
Lattice="0.0000 3.2599 3.2599 3.2599 0.0000 3.2599 3.2599 3.2599 0.0000" Properties=species:S:1:pos:R:3 comment="ZrCdPd, optimized geometry, DFT PBE-GGA" final_energy_ev_per_cell=-14.2 crystal_system=cubic formation_energy_ev_per_atom=0.145 spacegroup="F-43m, No. 216" pbc="T T T"
Zr 0.0000 0.0000 0.0000
Cd 4.8899 4.8899 4.8899
Pd 1.6300 1.6300 1.6300

[9]
4
Lattice="3.3612 0.0000 0.0000 0.0000 3.3612 0.0000 0.0000 0.0000 6.5441" Properties=species:S:1:pos:R:3 comment="ZrCdPd2, optimized geometry, DFT PBE-GGA" final_energy_ev_per_cell=-22.1 crystal_system=tetragonal formation_energy_ev_per_atom=-0.569 spacegroup="P4/mmm, No. 123" pbc="T T T"
Zr 0.0000 0.0000 0.0000
Cd 0.0000 0.0000 3.2720
Pd 1.6806 1.6806 1.5480
Pd 1.6806 1.6806 4.9960

[10]
4
Lattice="0.0000 3.4189 3.4189 3.4189 0.0000 3.4189 3.4189 3.4189 0.0000" Properties=species:S:1:pos:R:3 comment="Zr2CdPd, optimized geometry, DFT PBE-GGA" final_energy_ev_per_cell=-23.6 crystal_system=cubic formation_energy_ev_per_atom=-0.118 spacegroup="F-43m, No. 216" pbc="T T T"
Zr 0.0000 0.0000 0.0000
Zr 1.7094 1.7094 1.7094
Cd 5.1283 5.1283 5.1283
Pd 3.4189 3.4189 3.4189

[11]
3
Lattice="0.0000 3.2105 3.2105 3.2105 0.0000 3.2105 3.2105 3.2105 0.0000" Properties=species:S:1:pos:R:3 comment="ZrCdPd, optimized geometry, DFT PBE-GGA" final_energy_ev_per_cell=-15.3 crystal_system=cubic formation_energy_ev_per_atom=-0.242 spacegroup="F-43m, No. 216" pbc="T T T"
Zr 0.0000 0.0000 0.0000
Cd 3.2105 3.2105 3.2105
Pd 1.6052 1.6052 1.6052

[12]
16
Lattice="6.1802 0.0000 0.0000 0.0000 7.2173 0.0000 0.0000 0.0000 6.4424" Properties=species:S:1:pos:R:3 comment="ZrCdPd2, optimized geometry, DFT PBE-GGA" final_energy_ev_per_cell=-86.9 crystal_system=orthorhombic formation_energy_ev_per_atom=-0.485 spacegroup="Pnma, No. 62" pbc="T T T"
Zr 0.0000 1.8043 1.6135
Zr 0.0000 5.4130 4.8289
Zr 3.0901 1.8043 1.6077
Zr 3.0901 5.4130 4.8347
Cd 0.0054 1.8043 4.8345
Cd 3.0847 5.4130 1.6133
Cd 3.0954 1.8043 4.8291
Cd 6.1748 5.4130 1.6079
Pd 1.5449 0.0061 3.2252
Pd 1.5449 3.6026 3.2252
Pd 1.5452 3.6148 0.0040
Pd 1.5452 7.2112 0.0040
Pd 4.6349 0.0061 6.4384
Pd 4.6349 3.6026 6.4384
Pd 4.6353 3.6148 3.2172
Pd 4.6353 7.2112 3.2172